No. 1
AgPS2: relaxed, PBE.

abc: 3.5875 3.5875 22.2154
angles: 90.00 90.00 120.00
Space group R-3m (No. 166, hexagonal axes)
Symmetry-distinct sites (fractional):
Ag1 0.0000 0.0000 0.0000 x3
P1 0.0000 0.0000 0.5000 x3
S1 0.0000 0.0000 0.1069 x6

Summary:
- final energy (eV/f.u.) = -16.050
- total magnetic moment (Bohr magnetons per cell) = 0.00

No. 2
HfNpSc2N4: relaxed, PBE.

abc: 5.634 3.258 5.678
angles: 90.00 109.08 90.00
Space group P2/m (No. 10)
Symmetry-distinct sites (fractional):
Hf1 0.000 0.000 0.000 x1
Np1 0.000 0.500 0.500 x1
Sc1 0.500 0.000 0.500 x1
Sc2 0.500 0.500 0.000 x1
N1 0.245 0.500 0.243 x2
N2 0.255 0.000 0.761 x2

Summary:
- final energy (eV/f.u.) = -82.234
- total magnetic moment (Bohr magnetons per cell) = 3.05

How do the records compare in raw formation energy? In the order shown, they have 117, -1672 meV per atom.
How do the records compare in calculated volume? In the order shown, they have 20.63, 12.31 Å³/atom.